[1]
First-principles (meta-GGA SCAN) data for Er3Ge13Rh4 at its PBEsol-relaxed geometry, as listed in Alexandria via LeMat-Bulk. Values from VASP.

The structure in Quantum ESPRESSO input format:
```
&SYSTEM
  ibrav = 0, nat = 40, ntyp = 3
/
ATOMIC_SPECIES
Rh 102.91 Rh.upf
Ge 72.64 Ge.upf
Er 167.26 Er.upf
CELL_PARAMETERS angstrom
8.8591 0.0000 0.0000
0.0000 8.8591 0.0000
0.0000 0.0000 8.8591
ATOMIC_POSITIONS crystal
Rh 0.2500 0.7500 0.7500
Rh 0.2500 0.2500 0.2500
Rh 0.2500 0.2500 0.7500
Rh 0.7500 0.2500 0.2500
Rh 0.7500 0.7500 0.2500
Rh 0.7500 0.7500 0.7500
Rh 0.2500 0.7500 0.2500
Rh 0.7500 0.2500 0.7500
Ge 0.8103 0.3535 0.5000
Ge 0.5000 0.1897 0.6465
Ge 0.5000 0.8103 0.3535
Ge 0.6897 0.0000 0.1465
Ge 0.0000 0.1465 0.3103
Ge 0.3535 0.5000 0.1897
Ge 0.1465 0.3103 0.0000
Ge 0.0000 0.8535 0.6897
Ge 0.8535 0.6897 0.0000
Ge 0.3535 0.5000 0.8103
Ge 0.0000 0.1465 0.6897
Ge 0.0000 0.0000 0.0000
Ge 0.3103 0.0000 0.8535
Ge 0.5000 0.5000 0.5000
Ge 0.5000 0.1897 0.3535
Ge 0.1897 0.6465 0.5000
Ge 0.1465 0.6897 0.0000
Ge 0.3103 0.0000 0.1465
Ge 0.0000 0.8535 0.3103
Ge 0.8535 0.3103 0.0000
Ge 0.6465 0.5000 0.1897
Ge 0.5000 0.8103 0.6465
Ge 0.8103 0.6465 0.5000
Ge 0.6465 0.5000 0.8103
Ge 0.1897 0.3535 0.5000
Ge 0.6897 0.0000 0.8535
Er 0.5000 0.2500 0.0000
Er 0.2500 0.0000 0.5000
Er 0.0000 0.5000 0.7500
Er 0.0000 0.5000 0.2500
Er 0.7500 0.0000 0.5000
Er 0.5000 0.7500 0.0000
```

[2]
First-principles (meta-GGA SCAN) data for ErGeRh2 at its PBEsol-relaxed geometry, as listed in Alexandria via LeMat-Bulk. Values from VASP.

The structure in Quantum ESPRESSO input format:
```
&SYSTEM
  ibrav = 0, nat = 8, ntyp = 3
/
ATOMIC_SPECIES
Ge 72.64 Ge.upf
Er 167.26 Er.upf
Rh 102.91 Rh.upf
CELL_PARAMETERS angstrom
4.2030 0.0000 0.0000
-2.1015 3.6399 0.0000
0.0000 0.0000 8.8921
ATOMIC_POSITIONS crystal
Ge 0.0000 0.0000 0.5000
Ge 0.0000 0.0000 0.0000
Er 0.6667 0.3333 0.7500
Er 0.3333 0.6667 0.2500
Rh 0.3333 0.6667 0.5781
Rh 0.6667 0.3333 0.4219
Rh 0.6667 0.3333 0.0781
Rh 0.3333 0.6667 0.9219
```

[3]
First-principles (meta-GGA SCAN) data for Er3Ge3Ru2 at its PBEsol-relaxed geometry, as listed in Alexandria via LeMat-Bulk. Values from VASP.

The structure in Quantum ESPRESSO input format:
```
&SYSTEM
  ibrav = 0, nat = 16, ntyp = 3
/
ATOMIC_SPECIES
Er 167.26 Er.upf
Ru 101.07 Ru.upf
Ge 72.64 Ge.upf
CELL_PARAMETERS angstrom
-0.5588 3.3801 2.4243
-2.7971 -4.5298 2.0379
10.9648 -3.4619 7.3542
ATOMIC_POSITIONS crystal
Er 0.0777 0.1553 0.1133
Er 0.3529 0.7059 0.2500
Er 0.9223 0.8447 0.8867
Er 0.0777 0.1553 0.3867
Er 0.9223 0.8447 0.6133
Er 0.6471 0.2941 0.7500
Ru 0.7863 0.5726 0.4173
Ru 0.7863 0.5726 0.0827
Ru 0.2137 0.4274 0.9173
Ru 0.2137 0.4274 0.5827
Ge 0.3856 0.7712 0.4591
Ge 0.6144 0.2288 0.9591
Ge 0.6144 0.2288 0.5409
Ge 0.3371 0.6742 0.7500
Ge 0.6629 0.3258 0.2500
Ge 0.3856 0.7712 0.0409
```

[4]
First-principles (meta-GGA SCAN) data for Er2Ge5Ru3 at its PBEsol-relaxed geometry, as listed in Alexandria via LeMat-Bulk. Values from VASP.

The structure in Quantum ESPRESSO input format:
```
&SYSTEM
  ibrav = 0, nat = 20, ntyp = 3
/
ATOMIC_SPECIES
Er 167.26 Er.upf
Ru 101.07 Ru.upf
Ge 72.64 Ge.upf
CELL_PARAMETERS angstrom
5.6587 0.0000 0.0000
2.8294 7.8567 0.0218
2.8294 1.8463 7.6367
ATOMIC_POSITIONS crystal
Er 0.6416 0.1276 0.5892
Er 0.1416 0.5892 0.1276
Er 0.8584 0.4108 0.8724
Er 0.3584 0.8724 0.4108
Ru 0.2500 0.0000 0.0000
Ru 0.7500 0.0000 0.0000
Ru 0.8514 0.7386 0.5586
Ru 0.3514 0.5586 0.7386
Ru 0.1486 0.2614 0.4414
Ru 0.6486 0.4414 0.2614
Ge 0.0446 0.2054 0.2054
Ge 0.2500 0.5000 0.5000
Ge 0.4554 0.7946 0.7946
Ge 0.4137 0.2642 0.9084
Ge 0.0863 0.0916 0.7358
Ge 0.9554 0.7946 0.7946
Ge 0.7500 0.5000 0.5000
Ge 0.5446 0.2054 0.2054
Ge 0.9137 0.9084 0.2642
Ge 0.5863 0.7358 0.0916
```

[5]
First-principles (meta-GGA SCAN) data for ErGe2Ru2 at its PBEsol-relaxed geometry, as listed in Alexandria via LeMat-Bulk. Values from VASP.

The structure in Quantum ESPRESSO input format:
```
&SYSTEM
  ibrav = 0, nat = 5, ntyp = 3
/
ATOMIC_SPECIES
Ge 72.64 Ge.upf
Ru 101.07 Ru.upf
Er 167.26 Er.upf
CELL_PARAMETERS angstrom
-0.1070 -1.0603 4.0519
4.1431 -0.6211 -0.0531
-1.3054 5.4883 -0.7644
ATOMIC_POSITIONS crystal
Ge 0.3717 0.3717 0.7433
Ge 0.6283 0.6283 0.2567
Ru 0.2500 0.7500 0.5000
Ru 0.7500 0.2500 0.5000
Er 0.0000 0.0000 0.0000
```

[6]
First-principles (meta-GGA SCAN) data for ErGeRu at its PBEsol-relaxed geometry, as listed in Alexandria via LeMat-Bulk. Values from VASP.

The structure in Quantum ESPRESSO input format:
```
&SYSTEM
  ibrav = 0, nat = 12, ntyp = 3
/
ATOMIC_SPECIES
Ru 101.07 Ru.upf
Ge 72.64 Ge.upf
Er 167.26 Er.upf
CELL_PARAMETERS angstrom
4.3514 0.0000 0.0000
0.0000 6.8821 0.0000
0.0000 0.0000 7.1157
ATOMIC_POSITIONS crystal
Ru 0.2500 0.1559 0.0624
Ru 0.7500 0.8441 0.9376
Ru 0.2500 0.6559 0.4376
Ru 0.7500 0.3441 0.5624
Ge 0.2500 0.2958 0.3925
Ge 0.7500 0.7042 0.6075
Ge 0.2500 0.7958 0.1075
Ge 0.7500 0.2042 0.8925
Er 0.7500 0.5139 0.1914
Er 0.7500 0.0139 0.3086
Er 0.2500 0.9861 0.6914
Er 0.2500 0.4861 0.8086
```

[7]
First-principles (meta-GGA SCAN) data for Er2Ge2Ru at its PBEsol-relaxed geometry, as listed in Alexandria via LeMat-Bulk. Values from VASP.

The structure in Quantum ESPRESSO input format:
```
&SYSTEM
  ibrav = 0, nat = 10, ntyp = 3
/
ATOMIC_SPECIES
Ru 101.07 Ru.upf
Ge 72.64 Ge.upf
Er 167.26 Er.upf
CELL_PARAMETERS angstrom
-1.8875 3.5675 -1.2081
-5.6461 -0.5219 -0.0657
-1.7792 4.1931 7.8165
ATOMIC_POSITIONS crystal
Ru 0.7283 0.4143 0.1290
Ru 0.2717 0.5857 0.8710
Ge 0.6434 0.7789 0.9344
Ge 0.5136 0.3489 0.6239
Ge 0.4864 0.6511 0.3761
Ge 0.3566 0.2211 0.0656
Er 0.1839 0.2435 0.3886
Er 0.9985 0.8294 0.1736
Er 0.0015 0.1706 0.8264
Er 0.8161 0.7565 0.6114
```

[8]
First-principles (meta-GGA SCAN) data for ErSnGe at its PBEsol-relaxed geometry, as listed in Alexandria via LeMat-Bulk. Values from VASP.

The structure in Quantum ESPRESSO input format:
```
&SYSTEM
  ibrav = 0, nat = 6, ntyp = 3
/
ATOMIC_SPECIES
Ge 72.64 Ge.upf
Er 167.26 Er.upf
Sn 118.71 Sn.upf
CELL_PARAMETERS angstrom
-2.5366 -2.9244 1.0205
1.6442 -2.4692 -2.9892
6.1059 -4.0049 3.7000
ATOMIC_POSITIONS crystal
Ge 0.2500 0.4451 0.1098
Ge 0.7500 0.5549 0.8902
Er 0.7500 0.9062 0.1877
Er 0.2500 0.0938 0.8123
Sn 0.7500 0.2543 0.4913
Sn 0.2500 0.7457 0.5087
```

[9]
First-principles (meta-GGA SCAN) data for ErTiGe at its PBEsol-relaxed geometry, as listed in Alexandria via LeMat-Bulk. Values from VASP.

The structure in Quantum ESPRESSO input format:
```
&SYSTEM
  ibrav = 0, nat = 6, ntyp = 3
/
ATOMIC_SPECIES
Er 167.26 Er.upf
Ge 72.64 Ge.upf
Ti 47.87 Ti.upf
CELL_PARAMETERS angstrom
3.9807 0.0000 0.0000
0.0000 3.9807 0.0000
0.0000 0.0000 7.5052
ATOMIC_POSITIONS crystal
Er 0.0000 0.5000 0.3434
Er 0.5000 0.0000 0.6566
Ge 0.0000 0.5000 0.7523
Ge 0.5000 0.0000 0.2477
Ti 0.0000 0.0000 0.0000
Ti 0.5000 0.5000 0.0000
```

[10]
First-principles (meta-GGA SCAN) data for ErZnGe at its PBEsol-relaxed geometry, as listed in Alexandria via LeMat-Bulk. Values from VASP.

The structure in Quantum ESPRESSO input format:
```
&SYSTEM
  ibrav = 0, nat = 6, ntyp = 3
/
ATOMIC_SPECIES
Er 167.26 Er.upf
Zn 65.41 Zn.upf
Ge 72.64 Ge.upf
CELL_PARAMETERS angstrom
4.1126 0.0000 0.0000
-2.0563 3.5617 0.0000
0.0000 0.0000 7.7684
ATOMIC_POSITIONS crystal
Er 0.0000 0.0000 0.0000
Er 0.0000 0.0000 0.5000
Zn 0.3333 0.6667 0.2500
Zn 0.6667 0.3333 0.7500
Ge 0.3333 0.6667 0.7500
Ge 0.6667 0.3333 0.2500
```

[11]
First-principles (meta-GGA SCAN) data for Er4Zn5Ge6 at its PBEsol-relaxed geometry, as listed in Alexandria via LeMat-Bulk. Values from VASP.

The structure in Quantum ESPRESSO input format:
```
&SYSTEM
  ibrav = 0, nat = 30, ntyp = 3
/
ATOMIC_SPECIES
Ge 72.64 Ge.upf
Er 167.26 Er.upf
Zn 65.41 Zn.upf
CELL_PARAMETERS angstrom
-0.9511 3.0224 2.6871
-6.5469 -6.4091 1.6800
8.8487 -6.3467 10.2710
ATOMIC_POSITIONS crystal
Ge 0.5663 0.1327 0.1342
Ge 0.5694 0.1388 0.8545
Ge 0.4400 0.8800 0.9088
Ge 0.4306 0.8612 0.3545
Ge 0.4337 0.8673 0.6342
Ge 0.7767 0.5535 0.7786
Ge 0.1113 0.2226 0.6473
Ge 0.7717 0.5433 0.4982
Ge 0.5600 0.1200 0.4088
Ge 0.2283 0.4567 0.9982
Ge 0.2233 0.4465 0.2786
Ge 0.8887 0.7774 0.1473
Er 0.8247 0.6495 0.3194
Er 0.0327 0.0654 0.0002
Er 0.0196 0.0392 0.2648
Er 0.1671 0.3342 0.4605
Er 0.1753 0.3505 0.8194
Er 0.9673 0.9346 0.5002
Er 0.8329 0.6658 0.9605
Er 0.9804 0.9608 0.7648
Zn 0.1512 0.3024 0.1368
Zn 0.3011 0.6023 0.1399
Zn 0.3450 0.6900 0.4892
Zn 0.8488 0.6976 0.6368
Zn 0.6503 0.3006 0.2822
Zn 0.3497 0.6994 0.7822
Zn 0.5660 0.1319 0.5768
Zn 0.6550 0.3100 0.9892
Zn 0.6989 0.3977 0.6399
Zn 0.4340 0.8681 0.0768
```

[12]
First-principles (meta-GGA SCAN) data for ErH2 at its PBEsol-relaxed geometry, as listed in Alexandria via LeMat-Bulk. Values from VASP.

The structure in Quantum ESPRESSO input format:
```
&SYSTEM
  ibrav = 0, nat = 3, ntyp = 2
/
ATOMIC_SPECIES
H 1.01 H.upf
Er 167.26 Er.upf
CELL_PARAMETERS angstrom
-0.7373 1.5562 -3.1228
-0.3395 -1.9832 -2.9443
-3.2076 -0.4359 -1.4961
ATOMIC_POSITIONS crystal
H 0.2500 0.2500 0.2500
H 0.7500 0.7500 0.7500
Er 0.0000 0.0000 0.0000
```

no.,final energy (eV per atom)
1,-27.3372
2,-35.1760
3,-35.6439
4,-30.8150
5,-32.3970
6,-35.6174
7,-35.6510
8,-35.7801
9,-29.2694
10,-28.3499
11,-26.1748
12,-19.8798